# BeTeP PBE relaxed
# Raw total energy   -9.4 eV/cell
# Spin magnetization   0.00 μB/f.u.
data_BeTeP
_chemical_formula_sum 'Be1 Te1 P1'
_symmetry_space_group_name_H-M 'P 1'
_symmetry_Int_Tables_number 1
_cell_length_a 4.504
_cell_length_b 4.504
_cell_length_c 4.504
_cell_angle_alpha 60.00
_cell_angle_beta 60.00
_cell_angle_gamma 60.00
loop_
_symmetry_equiv_pos_as_xyz
'x,y,z'
loop_
_atom_site_label
_atom_site_fract_x
_atom_site_fract_y
_atom_site_fract_z
_atom_site_occupancy
Be1 0.000 0.000 0.000 1
Te1 0.250 0.250 0.250 1
P1 0.500 0.500 0.500 1